This record from OQMD via LeMat-Bulk describes CoBO3 after structural relaxation. The functional is PBE with a Hubbard U.

It has space group Pnma (No. 62), with a = 5.476 Å, b = 5.001 Å, c = 7.516 Å, α = 90.00°, β = 90.00° and γ = 90.00°. The distinct sites, in fractional coordinates, are Co at (0.196, 0.250, 0.182), B at (0.052, 0.250, 0.788), O at (0.033, 0.008, 0.700) and O at (0.076, 0.250, 0.967).

The uncorrected energy comes out at -6.828 eV per atom. The total magnetic moment is 4.0 μB/f.u.